Material: CuOsSe2
Method: DFT, GGA-PBE
State: optimized geometry

Summary:
- density of states at the Fermi level (states/eV/cell) = 1.5
- total magnetic moment (μB/atom) = 0.000
- energy above the lowest structure with this stoichiometry (eV/f.u.) = 0.54

a = 3.174 Å, b = 3.174 Å, c = 7.392 Å
α = 90.00°, β = 90.00°, γ = 90.00°
Sites, in units of the cell vectors:
Cu1 0.000 0.000 0.000
Os1 0.500 0.500 0.222
Se1 0.000 0.000 0.399
Se2 0.500 0.500 0.864